A | An optimized crystal structure of HoPaC2, computed with PBE-GGA. Values from VASP.

```
&SYSTEM
  ibrav = 0, nat = 4, ntyp = 3
/
ATOMIC_SPECIES
C 12.01 C.upf
Pa 231.04 Pa.upf
Ho 164.93 Ho.upf
CELL_PARAMETERS angstrom
3.6260 0.0000 0.0000
1.8130 3.1402 0.0000
1.8130 1.0467 5.8090
ATOMIC_POSITIONS angstrom
C 1.8130 1.0467 1.3259
C 5.4390 3.1402 4.4831
Pa 0.0000 0.0000 0.0000
Ho 3.6260 2.0935 2.9045
```

Properties
* density of states at the Fermi level: 1.5 states/eV/cell


B | An optimized crystal structure of HoPaC2, computed with PBE-GGA. Values from VASP.

```
&SYSTEM
  ibrav = 0, nat = 4, ntyp = 3
/
ATOMIC_SPECIES
C 12.01 C.upf
Pa 231.04 Pa.upf
Ho 164.93 Ho.upf
CELL_PARAMETERS angstrom
3.5837 0.0000 0.0000
1.7918 3.1035 0.0000
1.7918 1.0345 5.9228
ATOMIC_POSITIONS angstrom
C 1.7918 1.0345 4.5701
C 1.7918 1.0345 1.3175
Pa 5.3755 3.1035 5.9180
Ho 3.5837 2.0690 3.0014
```

Properties
* density of states at the Fermi level: 0.5 states/eV/cell


It is A that is most stable; the runner-up trails by 0.188 eV/atom.


A | An optimized crystal structure of HoPaC, computed with PBE-GGA. Values from VASP.

```
&SYSTEM
  ibrav = 0, nat = 3, ntyp = 3
/
ATOMIC_SPECIES
C 12.01 C.upf
Pa 231.04 Pa.upf
Ho 164.93 Ho.upf
CELL_PARAMETERS angstrom
-1.3348 3.5824 -4.7785
2.6878 -1.3338 -1.7507
-3.1334 -1.4814 -0.2353
ATOMIC_POSITIONS angstrom
C -0.0125 0.0335 -0.0447
Pa -1.4919 -0.6301 -1.8103
Ho -0.2761 1.3639 -4.9095
```

Properties
* density of states at the Fermi level: 4.6 states/eV/cell


B | An optimized crystal structure of HoPaC, computed with PBE-GGA. Values from VASP.

```
&SYSTEM
  ibrav = 0, nat = 3, ntyp = 3
/
ATOMIC_SPECIES
Ho 164.93 Ho.upf
Pa 231.04 Pa.upf
C 12.01 C.upf
CELL_PARAMETERS angstrom
-2.7648 1.0138 1.1095
0.7574 -1.0666 2.8621
3.4096 5.1822 -0.7012
ATOMIC_POSITIONS angstrom
Ho 1.2339 4.7688 3.1805
Pa 0.0475 2.2263 2.5470
C 1.5230 3.2637 0.8132
```

Properties
* density of states at the Fermi level: 4.4 states/eV/cell


C | An optimized crystal structure of HoPaC, computed with PBE-GGA. Values from VASP.

```
&SYSTEM
  ibrav = 0, nat = 18, ntyp = 3
/
ATOMIC_SPECIES
C 12.01 C.upf
Ho 164.93 Ho.upf
Pa 231.04 Pa.upf
CELL_PARAMETERS angstrom
7.4090 0.0000 0.0000
-3.7045 6.4164 0.0000
0.0000 0.0000 6.9700
ATOMIC_POSITIONS angstrom
C 0.0000 4.2776 6.7661
C 0.0000 0.0000 5.2275
C 3.7045 2.1388 0.2039
C 3.7045 2.1388 3.2811
C 0.0000 0.0000 1.7425
C 0.0000 4.2776 3.6888
Ho 1.8075 0.0000 3.4850
Ho -0.9038 1.5654 3.4850
Ho 1.8075 0.0000 0.0000
Ho 2.8007 4.8510 0.0000
Ho 2.8007 4.8510 3.4850
Ho -0.9038 1.5654 0.0000
Pa 1.4263 2.8439 5.2275
Pa 4.2330 0.1868 1.7425
Pa 0.5285 6.2296 5.2275
Pa 1.7498 2.6572 1.7425
Pa 5.1308 3.5725 1.7425
Pa -1.9547 3.7592 5.2275
```

Properties
* density of states at the Fermi level: 17.6 states/eV/cell


It is A that is most stable; the runner-up trails by 0.407 eV/atom.


A | An optimized crystal structure of PrHoC, computed with PBE-GGA. Values from VASP.

```
&SYSTEM
  ibrav = 0, nat = 6, ntyp = 3
/
ATOMIC_SPECIES
Ho 164.93 Ho.upf
Pr 140.91 Pr.upf
C 12.01 C.upf
CELL_PARAMETERS angstrom
3.5882 0.0000 0.2430
0.0000 5.4504 0.0000
-0.5199 0.0000 7.5538
ATOMIC_POSITIONS angstrom
Ho 0.8147 1.3626 1.2096
Ho 2.2535 4.0878 6.5872
Pr 0.5810 1.3626 4.6704
Pr 2.4872 4.0878 3.1264
C 2.5027 1.3626 2.8941
C 0.5656 4.0878 4.9028
```

Properties
* density of states at the Fermi level: 7.0 states/eV/cell


B | An optimized crystal structure of PrHoC, computed with PBE-GGA. Values from VASP.

```
&SYSTEM
  ibrav = 0, nat = 6, ntyp = 3
/
ATOMIC_SPECIES
Ho 164.93 Ho.upf
C 12.01 C.upf
Pr 140.91 Pr.upf
CELL_PARAMETERS angstrom
3.6530 0.0000 0.0000
0.0000 5.0640 0.0000
0.0000 0.0000 8.0350
ATOMIC_POSITIONS angstrom
Ho 0.0000 0.0000 3.2809
Ho 1.8265 2.5320 4.7541
C 1.8265 0.0000 4.9717
C 0.0000 2.5320 3.0633
Pr 0.0000 0.0000 6.7088
Pr 1.8265 2.5320 1.3262
```

Properties
* density of states at the Fermi level: 7.9 states/eV/cell


It is B that is most stable; the runner-up trails by 0.088 eV/atom.


A | An optimized crystal structure of HoPuC2, computed with PBE-GGA. Values from VASP.

```
&SYSTEM
  ibrav = 0, nat = 4, ntyp = 3
/
ATOMIC_SPECIES
C 12.01 C.upf
Pu 244.00 Pu.upf
Ho 164.93 Ho.upf
CELL_PARAMETERS angstrom
-0.6161 2.8352 1.9650
-1.5636 -0.3353 3.1180
4.4737 0.2029 4.2344
ATOMIC_POSITIONS angstrom
C 3.3075 0.3443 3.6648
C 0.4123 0.6952 2.2506
Pu 3.0151 1.8702 7.6204
Ho 1.1798 1.3474 4.6747
```

Properties
* density of states at the Fermi level: 7.9 states/eV/cell


B | An optimized crystal structure of HoPuC2, computed with PBE-GGA. Values from VASP.

```
&SYSTEM
  ibrav = 0, nat = 4, ntyp = 3
/
ATOMIC_SPECIES
C 12.01 C.upf
Pu 244.00 Pu.upf
Ho 164.93 Ho.upf
CELL_PARAMETERS angstrom
3.5577 0.0000 0.0000
1.7789 3.0811 0.0000
1.7789 1.0270 5.6771
ATOMIC_POSITIONS angstrom
C 1.7789 1.0270 1.2427
C 5.3366 3.0811 4.4344
Pu 0.0000 0.0000 0.0000
Ho 3.5577 2.0540 2.8385
```

Properties
* density of states at the Fermi level: 8.4 states/eV/cell


It is B that is most stable; the runner-up trails by 0.137 eV/atom.


A | An optimized crystal structure of HoPu2C, computed with PBE-GGA. Values from VASP.

```
&SYSTEM
  ibrav = 0, nat = 4, ntyp = 3
/
ATOMIC_SPECIES
Ho 164.93 Ho.upf
C 12.01 C.upf
Pu 244.00 Pu.upf
CELL_PARAMETERS angstrom
3.1595 0.0000 0.0000
0.0000 3.1595 0.0000
0.0000 0.0000 8.6258
ATOMIC_POSITIONS angstrom
Ho 1.5797 1.5797 4.3129
C 1.5797 1.5797 0.0000
Pu 0.0000 0.0000 7.2666
Pu 0.0000 0.0000 1.3592
```

Properties
* density of states at the Fermi level: 9.8 states/eV/cell


B | An optimized crystal structure of HoPu2C, computed with PBE-GGA. Values from VASP.

```
&SYSTEM
  ibrav = 0, nat = 4, ntyp = 3
/
ATOMIC_SPECIES
C 12.01 C.upf
Ho 164.93 Ho.upf
Pu 244.00 Pu.upf
CELL_PARAMETERS angstrom
4.0402 0.0000 0.0000
2.0201 3.4989 0.0000
2.0201 1.1663 6.2862
ATOMIC_POSITIONS angstrom
C 0.0000 0.0000 0.0000
Ho 4.0402 2.3326 3.1431
Pu 4.0402 2.3326 5.9972
Pu 4.0402 2.3326 0.2890
```

Properties
* density of states at the Fermi level: 6.8 states/eV/cell


It is A that is most stable; the runner-up trails by 0.404 eV/atom.


A | An optimized crystal structure of Ho4CS3, computed with PBE-GGA. Values from VASP.

```
&SYSTEM
  ibrav = 0, nat = 8, ntyp = 3
/
ATOMIC_SPECIES
Ho 164.93 Ho.upf
S 32.06 S.upf
C 12.01 C.upf
CELL_PARAMETERS angstrom
-2.0892 3.0023 0.9402
-5.5327 -3.6497 -0.6396
2.1703 -0.4560 6.2787
ATOMIC_POSITIONS angstrom
Ho -0.6504 0.3088 5.1537
Ho -0.7362 -0.8989 1.2346
Ho -2.6263 -3.2068 4.4045
Ho -4.8013 -1.4122 1.4256
S -2.7664 -1.8249 -0.3198
S -2.7258 -0.5517 3.2896
S 1.0851 -0.2280 3.1394
C -1.0446 1.5012 0.4701
```

Properties
* density of states at the Fermi level: 2.0 states/eV/cell


B | An optimized crystal structure of Ho4CS3, computed with PBE-GGA. Values from VASP.

```
&SYSTEM
  ibrav = 0, nat = 8, ntyp = 3
/
ATOMIC_SPECIES
S 32.06 S.upf
Ho 164.93 Ho.upf
C 12.01 C.upf
CELL_PARAMETERS angstrom
5.3958 0.0000 0.0000
0.0000 5.3958 0.0000
0.0000 0.0000 5.3958
ATOMIC_POSITIONS angstrom
S 0.0000 2.6979 2.6979
S 2.6979 2.6979 0.0000
S 2.6979 0.0000 2.6979
Ho 0.0000 2.6979 0.0000
Ho 2.6979 2.6979 2.6979
Ho 2.6979 0.0000 0.0000
Ho 0.0000 0.0000 2.6979
C 0.0000 0.0000 0.0000
```

Properties
* density of states at the Fermi level: 4.0 states/eV/cell


It is A that is most stable; the runner-up trails by 0.116 eV/atom.